Entry 1:
A plane-wave DFT calculation with PBE was carried out for AgSnAu4 after structural relaxation.

The space group is C2/m (No. 12) and the conventional cell measures 9.598, 4.131 and 6.030 Å, with angles of 90.00, 107.68 and 90.00 degrees. The asymmetric unit holds Ag at (0.000, 0.000, 0.000), Sn at (0.000, 0.000, 0.500), Au at (0.166, 0.500, 0.326) and Au at (0.168, 0.500, 0.839).

The distance to the lowest polymorph of the same formula comes out at 11 meV per atom. The calculation puts the energy relative to the elements at -0.27 eV/f.u. Its total energy is -3.37 eV/atom. As for the density of states at the Fermi level: 4.4 states/eV per cell.

=====

Entry 2:
A plane-wave DFT calculation with PBE was carried out for Ag2Sn3Au3 after structural relaxation.

The space group is P6_3/mcm (No. 193) and the conventional cell measures 8.2715, 8.2715 and 6.0014 Å, with angles of 90.00, 90.00 and 120.00 degrees. The asymmetric unit holds Ag at (0.3333, 0.6667, 0.0000), Sn at (0.0000, 0.2915, 0.2500) and Au at (0.0000, 0.3700, 0.7500).

The calculation puts the energy relative to the elements at -0.64 eV/f.u. Its total energy is -3.52 eV/atom. As for the density of states at the Fermi level: 7.4 states/eV per cell.

=====

Entry 3:
A plane-wave DFT calculation with PBE was carried out for Ag3SnAu2 after structural relaxation.

The space group is Fddd (No. 70, origin choice 2) and the conventional cell measures 6.156, 7.995 and 18.396 Å, with angles of 90.00, 90.00 and 90.00 degrees. The asymmetric unit holds Ag at (0.125, 0.125, 0.125), Ag at (0.125, 0.125, 0.458), Sn at (0.125, 0.125, 0.625) and Au at (0.125, 0.125, 0.292).

The distance to the lowest polymorph of the same formula comes out at 0 meV per atom. The calculation puts the energy relative to the elements at -0.28 eV/f.u. Its total energy is -3.23 eV/atom. As for the density of states at the Fermi level: 8.2 states/eV per cell.

=====

Entry 4:
A plane-wave DFT calculation with PBE was carried out for Ag3SnAu2 after structural relaxation.

The space group is C2/c (No. 15) and the conventional cell measures 8.189, 9.543 and 6.254 Å, with angles of 90.00, 99.47 and 90.00 degrees. The asymmetric unit holds Ag at (0.000, 0.198, 0.250), Ag at (0.176, 0.028, 0.984), Sn at (0.000, 0.493, 0.250) and Au at (0.157, 0.250, 0.683).

The distance to the lowest polymorph of the same formula comes out at 104 meV per atom. The calculation puts the energy relative to the elements at 0.34 eV/f.u. Its total energy is -3.13 eV/atom. As for the density of states at the Fermi level: 6.7 states/eV per cell.

=====

Entry 5:
A plane-wave DFT calculation with PBE was carried out for AgSn2Au after structural relaxation.

The space group is I-42d (No. 122) and the conventional cell measures 4.572, 4.572 and 18.335 Å, with angles of 90.00, 90.00 and 90.00 degrees. The asymmetric unit holds Ag at (0.000, 0.000, 0.000), Sn at (0.249, 0.250, 0.125) and Au at (0.000, 0.000, 0.500).

The distance to the lowest polymorph of the same formula comes out at 93 meV per atom. The calculation puts the energy relative to the elements at 0.12 eV/f.u. Its total energy is -3.50 eV/atom. As for the density of states at the Fermi level: 5.9 states/eV per cell.

=====

Entry 6:
A plane-wave DFT calculation with PBE was carried out for AgSn6Au5 after structural relaxation.

The space group is C2/m (No. 12) and the conventional cell measures 8.236, 11.147 and 6.236 Å, with angles of 90.00, 105.11 and 90.00 degrees. The asymmetric unit holds Ag at (0.000, 0.000, 0.000), Sn at (0.228, 0.500, 0.224), Sn at (0.236, 0.327, 0.731), Au at (0.000, 0.143, 0.500), Au at (0.000, 0.314, 0.000) and Au at (0.000, 0.500, 0.500).

The calculation puts the energy relative to the elements at -1.14 eV/f.u. Its total energy is -3.70 eV/atom. As for the density of states at the Fermi level: 7.5 states/eV per cell.

=====

Entry 7:
A plane-wave DFT calculation with PBE was carried out for Ag2Sn2Au after structural relaxation.

The space group is P4/mbm (No. 127) and the conventional cell measures 7.311, 7.311 and 4.143 Å, with angles of 90.00, 90.00 and 90.00 degrees. The asymmetric unit holds Ag at (0.137, 0.363, 0.000), Sn at (0.167, 0.667, 0.500) and Au at (0.000, 0.000, 0.000).

The distance to the lowest polymorph of the same formula comes out at 96 meV per atom. The calculation puts the energy relative to the elements at 0.35 eV/f.u. Its total energy is -3.33 eV/atom. As for the density of states at the Fermi level: 4.0 states/eV per cell.

=====

Entry 8:
A plane-wave DFT calculation with PBE was carried out for Ag2SnAu8 after structural relaxation.

The space group is C2/m (No. 12) and the conventional cell measures 8.125, 13.072 and 5.459 Å, with angles of 90.00, 131.75 and 90.00 degrees. The asymmetric unit holds Ag at (0.000, 0.194, 0.000), Sn at (0.000, 0.500, 0.500), Au at (0.000, 0.278, 0.500), Au at (0.095, 0.000, 0.329) and Au at (0.210, 0.386, 0.099).

The distance to the lowest polymorph of the same formula comes out at 48 meV per atom. The calculation puts the energy relative to the elements at 0.13 eV/f.u. Its total energy is -3.25 eV/atom. As for the density of states at the Fermi level: 6.3 states/eV per cell.

=====

Entry 9:
A plane-wave DFT calculation with PBE was carried out for Ag7Sn2Au after structural relaxation.

The space group is Cmmm (No. 65) and the conventional cell measures 8.780, 16.806 and 2.967 Å, with angles of 90.00, 90.00 and 90.00 degrees. The asymmetric unit holds Ag at (0.000, 0.000, 0.000), Ag at (0.000, 0.322, 0.500), Ag at (0.227, 0.411, 0.000), Sn at (0.000, 0.176, 0.000) and Au at (0.000, 0.500, 0.500).

The calculation puts the energy relative to the elements at 1.31 eV/f.u. Its total energy is -2.99 eV/atom. As for the density of states at the Fermi level: 6.6 states/eV per cell.

=====

Entry 10:
A plane-wave DFT calculation with PBE was carried out for AgSnAu after structural relaxation.

The space group is P3m1 (No. 156) and the conventional cell measures 4.8266, 4.8266 and 3.1131 Å, with angles of 90.00, 90.00 and 120.00 degrees. The asymmetric unit holds Ag at (0.0000, 0.0000, 0.0000), Sn at (0.3333, 0.6667, 0.4974) and Au at (0.6667, 0.3333, 0.4970).

The distance to the lowest polymorph of the same formula comes out at 68 meV per atom. The calculation puts the energy relative to the elements at 0.03 eV/f.u. Its total energy is -3.37 eV/atom. As for the density of states at the Fermi level: 1.1 states/eV per cell.

=====

Entry 11:
A plane-wave DFT calculation with PBE was carried out for Ag2SnAu5 after structural relaxation.

The space group is I4/mcm (No. 140) and the conventional cell measures 7.394, 7.394 and 11.239 Å, with angles of 90.00, 90.00 and 90.00 degrees. The asymmetric unit holds Ag at (0.145, 0.355, 0.000), Sn at (0.000, 0.000, 0.250), Au at (0.000, 0.000, 0.000) and Au at (0.149, 0.351, 0.335).

The distance to the lowest polymorph of the same formula comes out at 43 meV per atom. The calculation puts the energy relative to the elements at -0.06 eV/f.u. Its total energy is -3.27 eV/atom. As for the density of states at the Fermi level: 7.9 states/eV per cell.

=====

Entry 12:
A plane-wave DFT calculation with PBE was carried out for AgSnAu2 after structural relaxation.

The space group is Immm (No. 71) and the conventional cell measures 2.984, 4.885 and 11.605 Å, with angles of 90.00, 90.00 and 90.00 degrees. The asymmetric unit holds Ag at (0.000, 0.000, 0.000), Sn at (0.000, 0.000, 0.500) and Au at (0.000, 0.000, 0.252).

The calculation puts the energy relative to the elements at 0.28 eV/f.u. Its total energy is -3.28 eV/atom. As for the density of states at the Fermi level: 2.6 states/eV per cell.

=====

Entry 13:
A plane-wave DFT calculation with PBE was carried out for Ag8SnAu2 after structural relaxation.

The space group is C2/m (No. 12) and the conventional cell measures 14.952, 4.286 and 6.589 Å, with angles of 90.00, 105.83 and 90.00 degrees. The asymmetric unit holds Ag at (0.047, 0.000, 0.225), Ag at (0.092, 0.500, 0.960), Ag at (0.139, 0.000, 0.687), Ag at (0.184, 0.500, 0.411), Sn at (0.000, 0.500, 0.500) and Au at (0.227, 0.000, 0.136).

The distance to the lowest polymorph of the same formula comes out at 0 meV per atom. The calculation puts the energy relative to the elements at -0.11 eV/f.u. Its total energy is -3.04 eV/atom. As for the density of states at the Fermi level: 6.3 states/eV per cell.

=====

Entry 14:
A plane-wave DFT calculation with PBE was carried out for Ag2Sn2Au after structural relaxation.

The space group is I4/mmm (No. 139) and the conventional cell measures 4.140, 4.140 and 13.775 Å, with angles of 90.00, 90.00 and 90.00 degrees. The asymmetric unit holds Ag at (0.000, 0.000, 0.096), Sn at (0.000, 0.500, 0.250) and Au at (0.000, 0.000, 0.500).

The distance to the lowest polymorph of the same formula comes out at 324 meV per atom. The calculation puts the energy relative to the elements at 1.49 eV/f.u. Its total energy is -3.10 eV/atom. As for the density of states at the Fermi level: 3.7 states/eV per cell.

=====

Entry 15:
A plane-wave DFT calculation with PBE was carried out for Ag6SnAu5 after structural relaxation.

The space group is C2/m (No. 12) and the conventional cell measures 5.117, 8.982 and 9.824 Å, with angles of 90.00, 101.10 and 90.00 degrees. The asymmetric unit holds Ag at (0.248, 0.168, 0.246), Ag at (0.249, 0.000, 0.753), Sn at (0.000, 0.500, 0.500), Au at (0.000, 0.000, 0.000), Au at (0.000, 0.167, 0.500) and Au at (0.000, 0.334, 0.000).

The distance to the lowest polymorph of the same formula comes out at 9 meV per atom. The calculation puts the energy relative to the elements at -0.40 eV/f.u. Its total energy is -3.16 eV/atom. As for the density of states at the Fermi level: 7.0 states/eV per cell.

=====

Entry 16:
A plane-wave DFT calculation with PBE was carried out for Ag4SnAu3 after structural relaxation.

The space group is C2/m (No. 12) and the conventional cell measures 14.028, 4.759 and 4.780 Å, with angles of 90.00, 109.81 and 90.00 degrees. The asymmetric unit holds Ag at (0.128, 0.000, 0.127), Ag at (0.248, 0.500, 0.248), Sn at (0.000, 0.000, 0.500), Au at (0.000, 0.500, 0.000) and Au at (0.128, 0.500, 0.629).

The distance to the lowest polymorph of the same formula comes out at 0 meV per atom. The calculation puts the energy relative to the elements at -0.15 eV/f.u. Its total energy is -3.17 eV/atom. As for the density of states at the Fermi level: 2.9 states/eV per cell.

=====

Entry 17:
A plane-wave DFT calculation with PBE was carried out for Ag4SnAu3 after structural relaxation.

The space group is C2/m (No. 12) and the conventional cell measures 23.708, 3.032 and 4.702 Å, with angles of 90.00, 98.03 and 90.00 degrees. The asymmetric unit holds Ag at (0.104, 0.000, 0.215), Ag at (0.209, 0.500, 0.292), Sn at (0.000, 0.500, 0.000), Au at (0.000, 0.000, 0.500) and Au at (0.173, 0.000, 0.770).

The distance to the lowest polymorph of the same formula comes out at 125 meV per atom. The calculation puts the energy relative to the elements at 0.86 eV/f.u. Its total energy is -3.05 eV/atom. As for the density of states at the Fermi level: 5.5 states/eV per cell.

=====

Entry 18:
A plane-wave DFT calculation with PBE was carried out for Ag3SnAu6 after structural relaxation.

The space group is P2_1/m (No. 11) and the conventional cell measures 9.336, 4.225 and 9.459 Å, with angles of 90.00, 90.07 and 90.00 degrees. The asymmetric unit holds Ag at (0.002, 0.250, 0.253), Ag at (0.197, 0.750, 0.347), Ag at (0.397, 0.250, 0.449), Sn at (0.384, 0.750, 0.937), Au at (0.095, 0.750, 0.052), Au at (0.098, 0.250, 0.546), Au at (0.194, 0.250, 0.839), Au at (0.298, 0.250, 0.153), Au at (0.298, 0.750, 0.638) and Au at (0.497, 0.750, 0.258).

The distance to the lowest polymorph of the same formula comes out at 0 meV per atom. The calculation puts the energy relative to the elements at -0.38 eV/f.u. Its total energy is -3.26 eV/atom. As for the density of states at the Fermi level: 4.8 states/eV per cell.

=====

Entry 19:
A plane-wave DFT calculation with PBE was carried out for AgSnAu2 after structural relaxation.

The space group is I-42d (No. 122) and the conventional cell measures 7.826, 7.826 and 5.574 Å, with angles of 90.00, 90.00 and 90.00 degrees. The asymmetric unit holds Ag at (0.000, 0.000, 0.000), Sn at (0.000, 0.000, 0.500) and Au at (0.248, 0.750, 0.625).

The calculation puts the energy relative to the elements at 0.12 eV/f.u. Its total energy is -3.32 eV/atom. As for the density of states at the Fermi level: 6.2 states/eV per cell.

=====

Entry 20:
A plane-wave DFT calculation with PBE was carried out for Ag2SnAu after structural relaxation.

The space group is Cm (No. 8) and the conventional cell measures 5.037, 3.355 and 9.603 Å, with angles of 90.00, 96.47 and 90.00 degrees. The asymmetric unit holds Ag at (0.000, 0.000, 0.000), Ag at (0.152, 0.000, 0.527), Sn at (0.428, 0.000, 0.263) and Au at (0.076, 0.500, 0.763).

The calculation puts the energy relative to the elements at 0.27 eV/f.u. Its total energy is -3.18 eV/atom. As for the density of states at the Fermi level: 1.9 states/eV per cell.